(1)
{"formula": "PmHgPtPb", "functional": "PBE", "state": "optimized geometry", "m_tot_mub_per_fu": 0.0, "delta_e_f_mev_per_atom": -521, "cell": [[0.0000, 3.6271, 3.6271], [3.6271, 0.0000, 3.6271], [3.6271, 3.6271, 0.0000]], "species": ["Pm", "Hg", "Pt", "Pb"], "fractional_positions": [[0.0000, 0.0000, 0.0000], [0.2500, 0.2500, 0.2500], [0.7500, 0.7500, 0.7500], [0.5000, 0.5000, 0.5000]]}

***

(2)
{"formula": "RbPmHgPb", "functional": "PBE", "state": "optimized geometry", "m_tot_mub_per_fu": 0.0, "delta_e_f_mev_per_atom": -159, "cell": [[0.0000, 4.0568, 4.0568], [4.0568, 0.0000, 4.0568], [4.0568, 4.0568, 0.0000]], "species": ["Rb", "Pm", "Hg", "Pb"], "fractional_positions": [[0.0000, 0.0000, 0.0000], [0.5000, 0.5000, 0.5000], [0.2500, 0.2500, 0.2500], [0.7500, 0.7500, 0.7500]]}

***

(3)
{"formula": "PmHgSbPb", "functional": "PBE", "state": "optimized geometry", "m_tot_mub_per_fu": 0.0, "dft_energy_ev_per_atom": -3.58, "cell": [[0.0000, 3.8527, 3.8527], [3.8527, 0.0000, 3.8527], [3.8527, 3.8527, 0.0000]], "species": ["Pm", "Hg", "Sb", "Pb"], "fractional_positions": [[0.0000, 0.0000, 0.0000], [0.2500, 0.2500, 0.2500], [0.7500, 0.7500, 0.7500], [0.5000, 0.5000, 0.5000]]}

***

(4)
{"formula": "PmScHgPb", "functional": "PBE", "state": "optimized geometry", "m_tot_mub_per_fu": 0.0, "delta_e_f_mev_per_atom": -414, "cell": [[0.0000, 3.7334, 3.7334], [3.7334, 0.0000, 3.7334], [3.7334, 3.7334, 0.0000]], "species": ["Pm", "Sc", "Hg", "Pb"], "fractional_positions": [[0.0000, 0.0000, 0.0000], [0.5000, 0.5000, 0.5000], [0.2500, 0.2500, 0.2500], [0.7500, 0.7500, 0.7500]]}

***

(5)
{"formula": "PmSnHgPb", "functional": "PBE", "state": "optimized geometry", "e_above_lowest_polymorph_kj_per_mol_fu": 56, "m_tot_mub_per_fu": 0.0, "delta_e_f_mev_per_atom": -289, "cell": [[0.0000, 3.8554, 3.8554], [3.8554, 0.0000, 3.8554], [3.8554, 3.8554, 0.0000]], "species": ["Pm", "Sn", "Hg", "Pb"], "fractional_positions": [[0.0000, 0.0000, 0.0000], [0.2500, 0.2500, 0.2500], [0.7500, 0.7500, 0.7500], [0.5000, 0.5000, 0.5000]]}

***

(6)
{"formula": "PmSnHgPb", "functional": "PBE", "state": "optimized geometry", "e_above_lowest_polymorph_kj_per_mol_fu": 0, "m_tot_mub_per_fu": 0.0, "delta_e_f_mev_per_atom": -434, "cell": [[4.5770, 0.0000, 0.0000], [0.0000, 4.7950, 0.0000], [0.0000, 0.0000, 4.8977]], "species": ["Pm", "Sn", "Hg", "Pb"], "fractional_positions": [[0.0000, 0.0000, 0.0000], [0.5000, 0.5000, 0.0000], [0.0000, 0.5000, 0.5000], [0.5000, 0.0000, 0.5000]]}